(1)
Entry from Alexandria: a relaxed Na3CoNi crystal (PBE-GGA).

Values from the calculation:
- energy (eV for the cell shown) = -11.44
- mass density (g cm⁻³) = 2.132
- symmetry = No. 221

Lattice parameters (Å, degrees): 5.257 5.257 5.257 90.00 90.00 90.00
Atoms (fractional coordinates):
Na  0.000  0.000  0.500
Na  0.000  0.500  0.000
Na  0.500  0.000  0.000
Co  0.500  0.500  0.500
Ni  0.000  0.000  0.000

(2)
Entry from Alexandria: a relaxed NaCoNi3 crystal (PBE-GGA).

Values from the calculation:
- energy (eV for the cell shown) = -21.80
- excess energy over the best structure of this formula in the dataset (kJ/mol of atoms) = 0.0
- mass density (g cm⁻³) = 5.136
- symmetry = No. 221

Lattice parameters (Å, degrees): 4.369 4.369 4.369 90.00 90.00 90.00
Atoms (fractional coordinates):
Na  0.000  0.000  0.000
Co  0.500  0.500  0.500
Ni  0.000  0.500  0.500
Ni  0.500  0.000  0.500
Ni  0.500  0.500  0.000

(3)
Entry from Alexandria: a relaxed NaCo2Ni crystal (PBE-GGA).

Values from the calculation:
- energy (eV for the cell shown) = -18.35
- excess energy over the best structure of this formula in the dataset (kJ/mol of atoms) = 0.0
- mass density (g cm⁻³) = 6.432
- symmetry = No. 225

Lattice parameters (Å, degrees): 4.177 4.177 4.177 60.00 60.00 60.00
Atoms (fractional coordinates):
Na  0.000  0.000  0.000
Co  0.250  0.250  0.250
Co  0.750  0.750  0.750
Ni  0.500  0.500  0.500

(4)
Entry from Alexandria: a relaxed NaCoNi2 crystal (PBE-GGA).

Values from the calculation:
- energy (eV for the cell shown) = -17.60
- excess energy over the best structure of this formula in the dataset (kJ/mol of atoms) = 0.0
- mass density (g cm⁻³) = 6.417
- symmetry = No. 225

Lattice parameters (Å, degrees): 4.178 4.178 4.178 60.00 60.00 60.00
Atoms (fractional coordinates):
Na  0.000  0.000  0.000
Co  0.500  0.500  0.500
Ni  0.250  0.250  0.250
Ni  0.750  0.750  0.750

(5)
Entry from Alexandria: a relaxed NaCoNi2 crystal (PBE-GGA).

Values from the calculation:
- energy (eV for the cell shown) = -33.28
- excess energy over the best structure of this formula in the dataset (kJ/mol of atoms) = 23.0
- mass density (g cm⁻³) = 4.485
- symmetry = No. 122

Lattice parameters (Å, degrees): 8.457 8.457 8.457 150.36 150.36 42.41
Atoms (fractional coordinates):
Na  0.000  0.000  0.000
Na  0.750  0.250  0.500
Co  0.250  0.750  0.500
Co  0.500  0.500  0.000
Ni  0.283  0.625  0.158
Ni  0.375  0.533  0.658
Ni  0.467  0.125  0.842
Ni  0.875  0.717  0.342

Looking at DFT formation energy for the records above, in order, we have 1.0816 0.7943 0.7409 0.5981 0.8365 eV/atom.
Looking at spin magnetization for the records above, in order, we have 0.404 0.777 0.959 0.686 0.761 μB per atom.